DFT (GGA-PBE) results for a geometry-optimized TaHgSe2 structure.

Unit cell a=3.492 b=3.492 c=9.993 alpha=89.95 beta=90.00 gamma=120.00
Element x y z (fractional)
Se (0.333, 0.666, 0.666)
Se (0.667, 0.334, 0.334)
Hg (0.000, 0.000, 0.000)
Ta (0.000, 0.000, 0.500)

Calculated values
**Uncorrected formation energy**: -581.5 meV per atom

DFT (GGA-PBE) results for a geometry-optimized TaHgSe2 structure.

Unit cell a=7.493 b=7.493 c=7.528 alpha=60.15 beta=60.15 gamma=90.00
Element x y z (fractional)
Ta (0.250, 0.750, 0.500)
Ta (0.500, 0.500, 0.000)
Se (0.875, 0.733, 0.750)
Se (0.375, 0.517, 0.750)
Se (0.267, 0.625, 0.250)
Se (0.483, 0.125, 0.250)
Hg (0.750, 0.250, 0.500)
Hg (0.000, 0.000, 0.000)

Calculated values
**Uncorrected formation energy**: -140.2 meV per atom

DFT (GGA-PBE) results for a geometry-optimized TaHg2Se structure.

Unit cell a=7.578 b=7.578 c=4.196 alpha=73.85 beta=73.85 gamma=23.65
Element x y z (fractional)
Se (0.750, 0.750, 0.750)
Hg (0.564, 0.564, 0.436)
Hg (0.936, 0.936, 0.064)
Ta (0.250, 0.250, 0.250)

Calculated values
**Uncorrected formation energy**: 187.1 meV per atom

DFT (GGA-PBE) results for a geometry-optimized TaHg2Se structure.

Unit cell a=9.645 b=9.645 c=7.247 alpha=48.29 beta=48.29 gamma=90.00
Element x y z (fractional)
Hg (0.736, 0.125, 0.250)
Hg (0.014, 0.625, 0.250)
Hg (0.875, 0.986, 0.750)
Hg (0.375, 0.264, 0.750)
Se (0.500, 0.500, 0.000)
Se (0.250, 0.750, 0.500)
Ta (0.000, 0.000, 0.000)
Ta (0.750, 0.250, 0.500)

Calculated values
**Uncorrected formation energy**: 353.8 meV per atom

DFT (GGA-PBE) results for a geometry-optimized TaHgSe2 structure.

Unit cell a=10.058 b=10.058 c=10.058 alpha=161.20 beta=160.81 gamma=26.99
Element x y z (fractional)
Se (0.013, 0.013, 0.000)
Se (0.348, 0.848, 0.500)
Hg (0.693, 0.193, 0.500)
Ta (0.446, 0.446, 0.000)

Calculated values
**Uncorrected formation energy**: -400.9 meV per atom

DFT (GGA-PBE) results for a geometry-optimized TaHgSe2 structure.

Unit cell a=18.944 b=3.326 c=8.861 alpha=90.00 beta=132.82 gamma=90.00
Element x y z (fractional)
Se (0.111, 0.000, 0.356)
Se (0.889, 0.000, 0.644)
Se (0.664, 0.000, 0.334)
Se (0.611, 0.500, 0.856)
Se (0.336, 0.000, 0.666)
Se (0.836, 0.500, 0.166)
Se (0.389, 0.500, 0.144)
Se (0.164, 0.500, 0.834)
Hg (0.580, 0.500, 0.465)
Hg (0.420, 0.500, 0.535)
Hg (0.920, 0.000, 0.035)
Hg (0.080, 0.000, 0.965)
Ta (0.277, 0.000, 0.130)
Ta (0.223, 0.500, 0.370)
Ta (0.777, 0.500, 0.630)
Ta (0.723, 0.000, 0.870)

Calculated values
**Uncorrected formation energy**: -236.4 meV per atom

DFT (GGA-PBE) results for a geometry-optimized TaHg2Se structure.

Unit cell a=3.199 b=3.199 c=8.965 alpha=90.00 beta=90.00 gamma=90.00
Element x y z (fractional)
Se (0.000, 0.000, 0.574)
Hg (0.000, 0.000, 0.954)
Hg (0.500, 0.500, 0.242)
Ta (0.500, 0.500, 0.730)

Calculated values
**Uncorrected formation energy**: -43.2 meV per atom

DFT (GGA-PBE) results for a geometry-optimized TaHgSe3 structure.

Unit cell a=5.113 b=5.113 c=5.113 alpha=90.00 beta=90.00 gamma=90.00
Element x y z (fractional)
Se (0.000, 0.000, 0.500)
Se (0.500, 0.000, 0.000)
Se (0.000, 0.500, 0.000)
Ta (0.500, 0.500, 0.500)
Hg (0.000, 0.000, 0.000)

Calculated values
**Uncorrected formation energy**: 1269.3 meV per atom

DFT (GGA-PBE) results for a geometry-optimized TaHgSe2 structure.

Unit cell a=14.959 b=7.280 c=7.280 alpha=76.86 beta=126.38 gamma=53.62
Element x y z (fractional)
Hg (0.368, 0.349, 0.964)
Hg (0.868, 0.536, 0.151)
Se (0.099, 0.886, 0.963)
Se (0.284, 0.140, 0.585)
Se (0.784, 0.915, 0.360)
Se (0.599, 0.537, 0.614)
Ta (0.267, 0.294, 0.206)
Ta (0.767, 0.294, 0.206)

Calculated values
**Uncorrected formation energy**: -403.8 meV per atom

DFT (GGA-PBE) results for a geometry-optimized TaHg2Se structure.

Unit cell a=9.711 b=9.711 c=9.711 alpha=19.62 beta=19.62 gamma=19.62
Element x y z (fractional)
Se (0.483, 0.483, 0.483)
Hg (0.250, 0.250, 0.250)
Hg (0.009, 0.009, 0.009)
Ta (0.757, 0.757, 0.757)

Calculated values
**Uncorrected formation energy**: -90.9 meV per atom

DFT (GGA-PBE) results for a geometry-optimized TaHgSe2 structure.

Unit cell a=6.935 b=6.935 c=6.935 alpha=153.89 beta=134.43 gamma=53.27
Element x y z (fractional)
Hg (0.750, 0.250, 0.500)
Se (0.413, 0.413, 0.000)
Se (0.087, 0.087, 0.000)
Ta (0.250, 0.750, 0.500)

Calculated values
**Uncorrected formation energy**: -181.3 meV per atom

DFT (GGA-PBE) results for a geometry-optimized TaHgSe2 structure.

Unit cell a=3.180 b=3.180 c=9.550 alpha=90.00 beta=90.00 gamma=90.00
Element x y z (fractional)
Se (0.000, 0.000, 0.416)
Se (0.000, 0.000, 0.084)
Ta (0.500, 0.500, 0.250)
Hg (0.500, 0.500, 0.750)

Calculated values
**Uncorrected formation energy**: -416.2 meV per atom

DFT (GGA-PBE) results for a geometry-optimized TaHgSe2 structure.

Unit cell a=5.904 b=5.904 c=5.904 alpha=141.06 beta=141.06 gamma=56.25
Element x y z (fractional)
Se (0.250, 0.750, 0.500)
Se (0.000, 0.000, 0.000)
Hg (0.750, 0.250, 0.500)
Ta (0.500, 0.500, 0.000)

Calculated values
**Uncorrected formation energy**: 457.4 meV per atom

DFT (GGA-PBE) results for a geometry-optimized TaHgSe2 structure.

Unit cell a=5.325 b=10.162 c=7.700 alpha=90.00 beta=90.00 gamma=90.00
Element x y z (fractional)
Ta (0.000, 0.643, 0.542)
Ta (0.000, 0.357, 0.042)
Ta (0.500, 0.143, 0.042)
Ta (0.500, 0.857, 0.542)
Hg (0.251, 0.751, 0.931)
Hg (0.749, 0.249, 0.431)
Hg (0.751, 0.749, 0.931)
Hg (0.249, 0.251, 0.431)
Se (0.000, 0.444, 0.745)
Se (0.500, 0.611, 0.532)
Se (0.000, 0.556, 0.245)
Se (0.000, 0.111, 0.032)
Se (0.500, 0.389, 0.032)
Se (0.000, 0.889, 0.532)
Se (0.500, 0.944, 0.245)
Se (0.500, 0.056, 0.745)

Calculated values
**Uncorrected formation energy**: -235.0 meV per atom

DFT (GGA-PBE) results for a geometry-optimized TaHgSe2 structure.

Unit cell a=10.004 b=3.487 c=3.489 alpha=59.97 beta=80.09 gamma=82.05
Element x y z (fractional)
Ta (0.571, 0.166, 0.685)
Se (0.401, 0.533, 0.086)
Se (0.740, 0.799, 0.285)
Hg (0.078, 0.920, 0.550)

Calculated values
**Uncorrected formation energy**: -587.0 meV per atom

DFT (GGA-PBE) results for a geometry-optimized TaHgSe2 structure.

Unit cell a=7.006 b=7.006 c=7.005 alpha=47.99 beta=47.99 gamma=27.42
Element x y z (fractional)
Se (0.018, 0.018, 0.062)
Se (0.170, 0.170, 0.310)
Hg (0.795, 0.795, 0.787)
Ta (0.517, 0.517, 0.341)

Calculated values
**Uncorrected formation energy**: -285.6 meV per atom

DFT (GGA-PBE) results for a geometry-optimized TaHgSe2 structure.

Unit cell a=9.597 b=9.597 c=7.397 alpha=49.56 beta=49.56 gamma=90.00
Element x y z (fractional)
Ta (0.750, 0.250, 0.500)
Ta (0.250, 0.750, 0.500)
Se (0.852, 0.352, 0.000)
Se (0.352, 0.148, 0.000)
Se (0.148, 0.648, 0.000)
Se (0.648, 0.852, 0.000)
Hg (0.750, 0.750, 0.500)
Hg (0.250, 0.250, 0.500)

Calculated values
**Uncorrected formation energy**: -340.9 meV per atom

DFT (GGA-PBE) results for a geometry-optimized TaHg2Se structure.

Unit cell a=5.351 b=3.421 c=5.758 alpha=59.80 beta=90.00 gamma=90.00
Element x y z (fractional)
Ta (0.500, 0.750, 0.750)
Hg (0.000, 0.693, 0.513)
Hg (0.000, 0.807, 0.987)
Se (0.500, 0.250, 0.250)

Calculated values
**Uncorrected formation energy**: 391.3 meV per atom

DFT (GGA-PBE) results for a geometry-optimized TaHg2Se2 structure.

Unit cell a=5.473 b=5.473 c=5.645 alpha=61.00 beta=61.00 gamma=90.00
Element x y z (fractional)
Hg (0.659, 0.659, 0.681)
Hg (0.341, 0.341, 0.319)
Se (0.750, 0.250, 0.500)
Se (0.250, 0.750, 0.500)
Ta (0.000, 0.000, 0.000)

Calculated values
**Uncorrected formation energy**: 812.7 meV per atom

DFT (GGA-PBE) results for a geometry-optimized Ta2TiHg2Se6 structure.

Unit cell a=6.075 b=6.075 c=9.732 alpha=96.39 beta=96.39 gamma=119.99
Element x y z (fractional)
Ti (0.000, 0.000, 0.500)
Se (0.939, 0.609, 0.328)
Se (0.391, 0.061, 0.672)
Se (0.609, 0.939, 0.328)
Se (0.061, 0.391, 0.672)
Se (0.269, 0.269, 0.329)
Se (0.731, 0.731, 0.671)
Ta (0.667, 0.333, 0.500)
Ta (0.333, 0.667, 0.500)
Hg (0.169, 0.831, 0.000)
Hg (0.831, 0.169, 0.000)

Calculated values
**Uncorrected formation energy**: -732.8 meV per atom

Number 1: E -5.362 eV/atom. Number 2: E -4.921 eV/atom. Number 3: E -3.798 eV/atom. Number 4: E -3.631 eV/atom. Number 5: E -5.182 eV/atom. Number 6: E -5.017 eV/atom. Number 7: E -4.028 eV/atom. Number 8: E -3.252 eV/atom. Number 9: E -5.185 eV/atom. Number 10: E -4.076 eV/atom. Number 11: E -4.962 eV/atom. Number 12: E -5.197 eV/atom. Number 13: E -4.323 eV/atom. Number 14: E -5.016 eV/atom. Number 15: E -5.368 eV/atom. Number 16: E -5.067 eV/atom. Number 17: E -5.122 eV/atom. Number 18: E -3.594 eV/atom. Number 19: E -3.072 eV/atom. Number 20: E -5.561 eV/atom.